{"formula": "V3Re4Mo", "functional": "PBE-GGA", "state": "optimized geometry", "cell": [[-0.499, 1.492, -2.622], [-2.968, 0.234, 0.698], [2.181, 10.720, 5.685]], "species": ["Mo", "V", "V", "V", "Re", "Re", "Re", "Re"], "frac_coords": [[0.500, 0.500, 0.000], [0.500, 0.500, 0.255], [0.500, 0.500, 0.745], [0.500, 0.500, 0.500], [0.000, 0.000, 0.133], [0.000, 0.000, 0.867], [0.000, 0.000, 0.623], [0.000, 0.000, 0.377]], "space_group": "No. 123", "dos_ef_per_ev_cell": 5.772, "formation_enthalpy_0k_ev_per_atom": -0.25, "e_tot_ev_per_atom": -11.2450}

=====

{"formula": "V6ReMo", "functional": "PBE-GGA", "state": "optimized geometry", "cell": [[5.252, -0.754, -0.852], [-1.323, 5.138, -0.852], [-1.323, -1.476, 4.995]], "species": ["V", "V", "V", "V", "V", "V", "Mo", "Re"], "frac_coords": [[0.749, 0.749, 0.251], [0.749, 0.251, 0.749], [0.251, 0.749, 0.749], [0.251, 0.749, 0.251], [0.749, 0.251, 0.251], [0.251, 0.251, 0.749], [0.000, 0.000, 0.000], [0.500, 0.500, 0.500]], "space_group": "No. 166", "dos_ef_per_ev_cell": 9.795, "formation_enthalpy_0k_ev_per_atom": 0.10, "e_tot_ev_per_atom": -9.6457, "de_polymorph_ev_per_atom": 0.256}

=====

{"formula": "V3ReMo2", "functional": "PBE-GGA", "state": "optimized geometry", "cell": [[4.337, -0.013, 0.824], [2.156, 4.610, 0.409], [2.745, -0.013, 9.204]], "species": ["V", "V", "V", "V", "V", "V", "Re", "Re", "Mo", "Mo", "Mo", "Mo"], "frac_coords": [[0.585, 0.334, 0.247], [0.920, 0.666, 0.247], [0.747, 0.000, 0.753], [0.080, 0.334, 0.753], [0.253, 0.000, 0.247], [0.415, 0.666, 0.753], [0.667, 0.666, 0.000], [0.333, 0.334, 0.000], [0.833, 0.334, 0.500], [0.000, 0.000, 0.000], [0.167, 0.666, 0.500], [0.500, 0.000, 0.500]], "space_group": "No. 10", "dos_ef_per_ev_cell": 9.099, "formation_enthalpy_0k_ev_per_atom": -0.18, "e_tot_ev_per_atom": -10.4229, "de_polymorph_ev_per_atom": 0.044}

=====

{"formula": "V6ReMo3", "functional": "PBE-GGA", "state": "optimized geometry", "cell": [[4.306, 0.000, 0.000], [0.000, 6.852, -3.021], [0.000, -1.034, 10.086]], "species": ["Re", "Re", "V", "V", "V", "V", "V", "V", "V", "V", "V", "V", "V", "V", "Mo", "Mo", "Mo", "Mo", "Mo", "Mo"], "frac_coords": [[0.250, 0.348, 0.399], [0.750, 0.652, 0.601], [0.750, 0.849, 0.898], [0.750, 0.047, 0.699], [0.750, 0.252, 0.499], [0.250, 0.349, 0.899], [0.250, 0.552, 0.699], [0.750, 0.448, 0.301], [0.250, 0.151, 0.102], [0.750, 0.053, 0.202], [0.250, 0.748, 0.501], [0.750, 0.651, 0.101], [0.250, 0.947, 0.798], [0.250, 0.953, 0.301], [0.750, 0.850, 0.398], [0.250, 0.757, 0.002], [0.250, 0.548, 0.199], [0.750, 0.243, 0.998], [0.750, 0.452, 0.801], [0.250, 0.150, 0.602]], "space_group": "No. 11", "dos_ef_per_ev_cell": 21.347, "formation_enthalpy_0k_ev_per_atom": -0.18, "e_tot_ev_per_atom": -10.1406, "de_polymorph_ev_per_atom": 0.000}

=====

{"formula": "V3ReMo4", "functional": "PBE-GGA", "state": "optimized geometry", "cell": [[-4.332, -0.290, -3.065], [1.169, -4.926, -1.186], [-4.670, -2.760, 6.861]], "species": ["Re", "Re", "V", "V", "V", "V", "V", "V", "Mo", "Mo", "Mo", "Mo", "Mo", "Mo", "Mo", "Mo"], "frac_coords": [[0.817, 0.224, 0.000], [0.317, 0.776, 0.500], [0.315, 0.266, 0.500], [0.564, 0.086, 0.251], [0.064, 0.914, 0.249], [0.064, 0.914, 0.751], [0.564, 0.086, 0.749], [0.815, 0.734, 0.000], [0.820, 0.737, 0.500], [0.561, 0.589, 0.251], [0.561, 0.589, 0.749], [0.320, 0.263, 0.000], [0.313, 0.771, 0.000], [0.061, 0.411, 0.249], [0.813, 0.229, 0.500], [0.061, 0.411, 0.751]], "space_group": "No. 31", "dos_ef_per_ev_cell": 10.585, "formation_enthalpy_0k_ev_per_atom": 0.06, "e_tot_ev_per_atom": -10.3263, "de_polymorph_ev_per_atom": 0.034}

=====

{"formula": "V2Re3Mo3", "functional": "PBE-GGA", "state": "optimized geometry", "cell": [[2.864, 0.000, 0.000], [0.000, 7.010, 0.000], [0.000, -3.505, 6.071]], "species": ["V", "V", "Re", "Re", "Re", "Mo", "Mo", "Mo"], "frac_coords": [[0.000, 0.667, 0.333], [0.000, 0.333, 0.667], [0.500, 0.403, 0.403], [0.500, 0.000, 0.597], [0.500, 0.597, 0.000], [0.000, 0.218, 0.000], [0.000, 0.782, 0.782], [0.000, 0.000, 0.218]], "space_group": "No. 189", "dos_ef_per_ev_cell": 10.066, "formation_enthalpy_0k_ev_per_atom": 0.23, "e_tot_ev_per_atom": -10.7791}

=====

{"formula": "V3ReMo", "functional": "PBE-GGA", "state": "optimized geometry", "cell": [[-3.916, -0.082, 3.233], [0.695, -0.838, 5.226], [-1.278, 5.932, 3.005]], "species": ["V", "V", "V", "V", "V", "V", "Re", "Re", "Mo", "Mo"], "frac_coords": [[0.814, 0.949, 0.537], [0.415, 0.548, 0.337], [0.414, 0.050, 0.338], [0.013, 0.147, 0.141], [0.012, 0.649, 0.143], [0.612, 0.247, 0.942], [0.212, 0.849, 0.739], [0.215, 0.347, 0.740], [0.815, 0.446, 0.535], [0.611, 0.750, 0.944]], "space_group": "No. 2", "dos_ef_per_ev_cell": 7.156, "formation_enthalpy_0k_ev_per_atom": -0.20, "e_tot_ev_per_atom": -10.3276, "de_polymorph_ev_per_atom": 0.000}

=====

{"formula": "V5Re4Mo", "functional": "PBE-GGA", "state": "optimized geometry", "cell": [[-2.628, 1.252, 0.887], [-1.279, -0.816, -2.638], [-4.255, -13.308, 6.181]], "species": ["Mo", "Re", "Re", "Re", "Re", "V", "V", "V", "V", "V"], "frac_coords": [[0.000, 0.000, 0.000], [0.000, 0.000, 0.600], [0.000, 0.000, 0.201], [0.000, 0.000, 0.799], [0.000, 0.000, 0.400], [0.500, 0.500, 0.301], [0.500, 0.500, 0.699], [0.500, 0.500, 0.101], [0.500, 0.500, 0.500], [0.500, 0.500, 0.899]], "space_group": "No. 123", "dos_ef_per_ev_cell": 5.784, "formation_enthalpy_0k_ev_per_atom": -0.31, "e_tot_ev_per_atom": -10.9366}